[1]
# CuNi6W GGA-PBEsol optimized geometry
data_CuNi6W
_cell_length_a 7.0615
_cell_length_b 9.9914
_cell_length_c 10.0089
_cell_angle_alpha 90.00
_cell_angle_beta 90.00
_cell_angle_gamma 90.00
_space_group_name_H-M_alt 'C m m m'
_space_group_IT_number 65
_space_group_name_Hall '-C 2 2'
loop_
_atom_site_label
_atom_site_type_symbol
_atom_site_fract_x
_atom_site_fract_y
_atom_site_fract_z
_atom_site_occupancy
Cu1 Cu 0.0000 0.0000 0.2461 1
Cu2 Cu 0.0000 0.2500 0.0000 1
Ni1 Ni 0.0000 0.0000 0.0000 1
Ni2 Ni 0.0000 0.0000 0.5000 1
Ni3 Ni 0.0000 0.2498 0.2503 1
Ni4 Ni 0.0000 0.5000 0.0000 1
Ni5 Ni 0.0000 0.5000 0.5000 1
Ni6 Ni 0.2487 0.1246 0.3750 1
Ni7 Ni 0.2500 0.1253 0.1250 1
W1 W 0.0000 0.2538 0.5000 1
W2 W 0.0000 0.5000 0.2415 1
# total energy = -6.954 eV per atom
# size of the total moment = 0.108 Bohr magnetons per cell
# formation energy = -0.548 eV/f.u.



[2]
# YCuNi2 GGA-PBEsol optimized geometry
data_YCuNi2
_cell_length_a 4.0321
_cell_length_b 4.0321
_cell_length_c 13.2011
_cell_angle_alpha 90.00
_cell_angle_beta 90.00
_cell_angle_gamma 120.00
_space_group_name_H-M_alt 'R -3 m'
_space_group_IT_number 166
_space_group_name_Hall '-R 3 2"'
loop_
_atom_site_label
_atom_site_type_symbol
_atom_site_fract_x
_atom_site_fract_y
_atom_site_fract_z
_atom_site_occupancy
Y1 Y 0.0000 0.0000 0.0000 1
Cu1 Cu 0.0000 0.0000 0.5000 1
Ni1 Ni 0.0000 0.0000 0.1997 1
# total energy = -6.129 eV per atom
# size of the total moment = 0.000 Bohr magnetons per cell
# formation energy = -1.044 eV/f.u.



[3]
# Y2CuNi2 GGA-PBEsol optimized geometry
data_Y2CuNi2
_cell_length_a 6.8942
_cell_length_b 6.8942
_cell_length_c 3.6987
_cell_angle_alpha 90.00
_cell_angle_beta 90.00
_cell_angle_gamma 90.00
_space_group_name_H-M_alt 'P 4/m b m'
_space_group_IT_number 127
_space_group_name_Hall '-P 4 2ab'
loop_
_atom_site_label
_atom_site_type_symbol
_atom_site_fract_x
_atom_site_fract_y
_atom_site_fract_z
_atom_site_occupancy
Y1 Y 0.1792 0.3208 0.0000 1
Cu1 Cu 0.0000 0.0000 0.5000 1
Ni1 Ni 0.1222 0.6222 0.5000 1
# total energy = -6.367 eV per atom
# size of the total moment = 0.000 Bohr magnetons per cell
# formation energy = -1.543 eV/f.u.



[4]
# Y2Cu5Ni12 GGA-PBEsol optimized geometry
data_Y2Cu5Ni12
_cell_length_a 8.2065
_cell_length_b 8.2065
_cell_length_c 7.9692
_cell_angle_alpha 90.00
_cell_angle_beta 90.00
_cell_angle_gamma 120.00
_space_group_name_H-M_alt 'P 63/m m c'
_space_group_IT_number 194
_space_group_name_Hall '-P 6c 2c'
loop_
_atom_site_label
_atom_site_type_symbol
_atom_site_fract_x
_atom_site_fract_y
_atom_site_fract_z
_atom_site_occupancy
Y1 Y 0.0000 0.0000 0.2500 1
Y2 Y 0.3333 0.6667 0.2500 1
Cu1 Cu 0.0000 0.5000 0.0000 1
Cu2 Cu 0.3333 0.6667 0.6045 1
Ni1 Ni 0.0403 0.3659 0.7500 1
Ni2 Ni 0.1645 0.3289 0.0205 1
# total energy = -5.914 eV per atom
# size of the total moment = 5.018 Bohr magnetons per cell
# formation energy = -3.157 eV/f.u.



[5]
# Y2CuNi GGA-PBEsol optimized geometry
data_Y2CuNi
_cell_length_a 4.2879
_cell_length_b 3.6918
_cell_length_c 10.0727
_cell_angle_alpha 90.00
_cell_angle_beta 90.00
_cell_angle_gamma 90.00
_space_group_name_H-M_alt 'A m m 2'
_space_group_IT_number 38
loop_
_space_group_symop_operation_xyz
'x,y,z'
'-x,-y,z'
'-x,y,z'
'x,-y,z'
'x,y+1/2,z+1/2'
'-x,-y+1/2,z+1/2'
'-x,y+1/2,z+1/2'
'x,-y+1/2,z+1/2'
loop_
_atom_site_label
_atom_site_type_symbol
_atom_site_fract_x
_atom_site_fract_y
_atom_site_fract_z
_atom_site_occupancy
Y1 Y 0.0000 0.0000 0.0000 1
Y2 Y 0.5000 0.0000 0.2792 1
Cu1 Cu 0.0000 0.0000 0.7098 1
Ni1 Ni 0.5000 0.0000 0.5687 1
# total energy = -6.372 eV per atom
# size of the total moment = 0.001 Bohr magnetons per cell
# formation energy = -1.351 eV/f.u.



[6]
# Y2CuNi GGA-PBEsol optimized geometry
data_Y2CuNi
_cell_length_a 3.3580
_cell_length_b 3.3580
_cell_length_c 6.7807
_cell_angle_alpha 90.00
_cell_angle_beta 90.00
_cell_angle_gamma 90.00
_space_group_name_H-M_alt 'P 4/m m m'
_space_group_IT_number 123
_space_group_name_Hall '-P 4 2'
loop_
_atom_site_label
_atom_site_type_symbol
_atom_site_fract_x
_atom_site_fract_y
_atom_site_fract_z
_atom_site_occupancy
Y1 Y 0.0000 0.0000 0.2419 1
Cu1 Cu 0.5000 0.5000 0.5000 1
Ni1 Ni 0.5000 0.5000 0.0000 1
# total energy = -6.323 eV per atom
# size of the total moment = 0.000 Bohr magnetons per cell
# formation energy = -1.157 eV/f.u.